# Sc3SnGe

A geometry-optimized Sc3SnGe structure (PBE, Alexandria).

E_form	-2.02	eV/f.u.
spin magnetization	0.0000	μB/atom
volume	25.25	Å³/atom
distance to the lowest polymorph of the same formula	0.173	eV/atom
calculated total energy	-29.64	eV/cell
theoretical density	4.29	g/cm3

Cell lengths 5.0168, 5.0168, 5.0168 Å; angles 90.00, 90.00, 90.00 degrees
Last column: nearest neighbours and their distance in Å.
Space group Pm-3m (No. 221)
Symmetry-distinct sites (fractional):
Sc: 0.0000 0.0000 0.5000 (multiplicity 3)  2 Ge 2.51
Sn: 0.5000 0.5000 0.5000 (multiplicity 1)  12 Sc 3.55
Ge: 0.0000 0.0000 0.0000 (multiplicity 1)  6 Sc 2.51